# Ac2HPt6Rh, optimized geometry, DFT GGA-PBE
data_Ac2HPt6Rh
_chemical_formula_sum 'Ac2 H1 Pt6 Rh1'
_cell_length_a 6.484
_cell_length_b 6.484
_cell_length_c 6.484
_cell_angle_alpha 119.92
_cell_angle_beta 119.92
_cell_angle_gamma 90.15
_space_group_name_H-M_alt 'P 1'
_space_group_IT_number 1
loop_
_space_group_symop_operation_xyz
'x,y,z'
loop_
_atom_site_label
_atom_site_type_symbol
_atom_site_fract_x
_atom_site_fract_y
_atom_site_fract_z
_atom_site_occupancy
Ac1 Ac 0.250 0.750 0.500 1
Ac2 Ac 0.750 0.250 0.500 1
H1 H 0.000 0.000 0.000 1
Pt1 Pt 0.220 0.220 0.000 1
Pt2 Pt 0.221 0.221 0.441 1
Pt3 Pt 0.221 0.779 0.000 1
Pt4 Pt 0.779 0.221 0.000 1
Pt5 Pt 0.779 0.779 0.559 1
Pt6 Pt 0.780 0.780 0.000 1
Rh1 Rh 0.500 0.500 0.000 1
# - mass density (g/cm³) = 14.9
# - Fermi-level density of states (states/eV/f.u.) = 6.9
# - VASP energy (eV per atom) = -6.031